1.
# PBE-GGA Tb4Te4I3, optimized geometry
data_Tb4Te4I3
_chemical_formula_sum 'Tb8 Te8 I6'
_cell_length_a 4.3740
_cell_length_b 8.6550
_cell_length_c 18.9100
_cell_angle_alpha 90.00
_cell_angle_beta 90.00
_cell_angle_gamma 90.00
_symmetry_space_group_name_H-M 'I m m m'
_symmetry_Int_Tables_number 71
_symmetry_space_group_name_Hall '-I 2 2'
loop_
_atom_site_label
_atom_site_type_symbol
_atom_site_fract_x
_atom_site_fract_y
_atom_site_fract_z
Tb1 Tb 0.0000 0.0000 0.2283
Tb2 Tb 0.0000 0.2088 0.5000
Te1 Te 0.0000 0.2853 0.3351
I1 I 0.0000 0.0000 0.0000
I2 I 0.0000 0.5000 0.0875
# Formation energy without anion corrections = -1.165 eV per atom

2.
# PBE-GGA LiInSn, optimized geometry
data_LiInSn
_chemical_formula_sum 'Li2 In2 Sn2'
_cell_length_a 4.7754
_cell_length_b 4.7754
_cell_length_c 7.7823
_cell_angle_alpha 90.00
_cell_angle_beta 90.00
_cell_angle_gamma 120.00
_symmetry_space_group_name_H-M 'P -6 m 2'
_symmetry_Int_Tables_number 187
_symmetry_space_group_name_Hall 'P -6 2'
loop_
_atom_site_label
_atom_site_type_symbol
_atom_site_fract_x
_atom_site_fract_y
_atom_site_fract_z
Li1 Li 0.0000 0.0000 0.0000
Li2 Li 0.0000 0.0000 0.5000
In1 In 0.6667 0.3333 0.1893
Sn1 Sn 0.3333 0.6667 0.3085
# Formation enthalpy at 0 K = -0.1768 eV per atom

3.
# PBE-GGA BaCu2Ru2, optimized geometry
data_BaCu2Ru2
_chemical_formula_sum 'Ba2 Cu4 Ru4'
_cell_length_a 4.4929
_cell_length_b 4.4929
_cell_length_c 9.7524
_cell_angle_alpha 90.00
_cell_angle_beta 90.00
_cell_angle_gamma 90.00
_symmetry_space_group_name_H-M 'I 4/m m m'
_symmetry_Int_Tables_number 139
_symmetry_space_group_name_Hall '-I 4 2'
loop_
_atom_site_label
_atom_site_type_symbol
_atom_site_fract_x
_atom_site_fract_y
_atom_site_fract_z
Ba1 Ba 0.0000 0.0000 0.0000
Cu1 Cu 0.0000 0.5000 0.2500
Ru1 Ru 0.0000 0.0000 0.3823
# Formation enthalpy at 0 K = 0.4896 eV per atom

4.
# PBE-GGA LaZr2W, optimized geometry
data_LaZr2W
_chemical_formula_sum 'La4 Zr8 W4'
_cell_length_a 7.0837
_cell_length_b 7.0837
_cell_length_c 7.0837
_cell_angle_alpha 90.00
_cell_angle_beta 90.00
_cell_angle_gamma 90.00
_symmetry_space_group_name_H-M 'F m -3 m'
_symmetry_Int_Tables_number 225
_symmetry_space_group_name_Hall '-F 4 2 3'
loop_
_atom_site_label
_atom_site_type_symbol
_atom_site_fract_x
_atom_site_fract_y
_atom_site_fract_z
La1 La 0.0000 0.0000 0.0000
Zr1 Zr 0.2500 0.2500 0.2500
W1 W 0.0000 0.0000 0.5000
# Polymorph energy (0 for the lowest one) = 0.2022 eV per atom
# Formation enthalpy at 0 K = 0.3774 eV per atom

5.
# PBE-GGA BeCO2, optimized geometry
data_BeCO2
_chemical_formula_sum 'Be4 C4 O8'
_cell_length_a 4.1422
_cell_length_b 4.1422
_cell_length_c 8.0967
_cell_angle_alpha 90.00
_cell_angle_beta 90.00
_cell_angle_gamma 90.00
_symmetry_space_group_name_H-M 'I -4 2 d'
_symmetry_Int_Tables_number 122
_symmetry_space_group_name_Hall 'I -4 2bw'
loop_
_atom_site_label
_atom_site_type_symbol
_atom_site_fract_x
_atom_site_fract_y
_atom_site_fract_z
Be1 Be 0.0000 0.0000 0.0000
C1 C 0.0000 0.0000 0.5000
O1 O 0.1970 0.2500 0.1250
# Polymorph energy (0 for the lowest one) = 0.3059 eV per atom
# Formation energy without anion corrections = -0.128 eV per atom

6.
# PBE-GGA AlSiTe2, optimized geometry
data_AlSiTe2
_chemical_formula_sum 'Al2 Si2 Te4'
_cell_length_a 13.2580
_cell_length_b 4.0724
_cell_length_c 4.1486
_cell_angle_alpha 90.00
_cell_angle_beta 91.05
_cell_angle_gamma 90.00
_symmetry_space_group_name_H-M 'C 1 m 1'
_symmetry_Int_Tables_number 8
loop_
_symmetry_equiv_pos_as_xyz
'x,y,z'
'x,-y,z'
'x+1/2,y+1/2,z'
'x+1/2,-y+1/2,z'
loop_
_atom_site_label
_atom_site_type_symbol
_atom_site_fract_x
_atom_site_fract_y
_atom_site_fract_z
Al1 Al 0.0000 0.0000 0.0000
Si1 Si 0.1786 0.5000 0.5379
Te1 Te 0.2078 0.0000 0.9848
Te2 Te 0.4742 0.0000 0.4979
# Polymorph energy (0 for the lowest one) = 0.1294 eV per atom
# Formation energy without anion corrections = 0.064 eV per atom

7.
# PBE-GGA Rb2CePr2O6, optimized geometry
data_Rb2CePr2O6
_chemical_formula_sum 'Rb4 Ce2 Pr4 O12'
_cell_length_a 6.3316
_cell_length_b 10.9299
_cell_length_c 6.9994
_cell_angle_alpha 90.00
_cell_angle_beta 106.91
_cell_angle_gamma 90.00
_symmetry_space_group_name_H-M 'C 1 2/m 1'
_symmetry_Int_Tables_number 12
loop_
_symmetry_equiv_pos_as_xyz
'x,y,z'
'-x,-y,-z'
'-x,y,-z'
'x,-y,z'
'x+1/2,y+1/2,z'
'-x+1/2,-y+1/2,-z'
'-x+1/2,y+1/2,-z'
'x+1/2,-y+1/2,z'
loop_
_atom_site_label
_atom_site_type_symbol
_atom_site_fract_x
_atom_site_fract_y
_atom_site_fract_z
Rb1 Rb 0.0000 0.1662 0.0000
Ce1 Ce 0.0000 0.0000 0.5000
Pr1 Pr 0.0000 0.3344 0.5000
O1 O 0.2096 0.1632 0.6674
O2 O 0.2462 0.5000 0.6673
# Formation energy without anion corrections = -2.769 eV per atom

8.
# PBE-GGA MgSe, optimized geometry
data_MgSe
_chemical_formula_sum 'Mg4 Se4'
_cell_length_a 3.7734
_cell_length_b 15.7711
_cell_length_c 3.7774
_cell_angle_alpha 90.00
_cell_angle_beta 90.00
_cell_angle_gamma 90.00
_symmetry_space_group_name_H-M 'C m c m'
_symmetry_Int_Tables_number 63
_symmetry_space_group_name_Hall '-C 2c 2'
loop_
_atom_site_label
_atom_site_type_symbol
_atom_site_fract_x
_atom_site_fract_y
_atom_site_fract_z
Mg1 Mg 0.0000 0.1794 0.2500
Se1 Se 0.0000 0.3492 0.2500
# Formation energy without anion corrections = -1.143 eV per atom

9.
# PBE-GGA AlSi3P, optimized geometry
data_AlSi3P
_chemical_formula_sum 'Al1 Si3 P1'
_cell_length_a 4.5349
_cell_length_b 4.5349
_cell_length_c 4.5349
_cell_angle_alpha 90.00
_cell_angle_beta 90.00
_cell_angle_gamma 90.00
_symmetry_space_group_name_H-M 'P m -3 m'
_symmetry_Int_Tables_number 221
_symmetry_space_group_name_Hall '-P 4 2 3'
loop_
_atom_site_label
_atom_site_type_symbol
_atom_site_fract_x
_atom_site_fract_y
_atom_site_fract_z
Al1 Al 0.0000 0.0000 0.0000
Si1 Si 0.0000 0.5000 0.5000
P1 P 0.5000 0.5000 0.5000
# Polymorph energy (0 for the lowest one) = 0.4935 eV per atom
# Formation energy without anion corrections = 0.805 eV per atom

10.
# PBE-GGA Cd2BiPb, optimized geometry
data_Cd2BiPb
_chemical_formula_sum 'Cd6 Bi3 Pb3'
_cell_length_a 4.7486
_cell_length_b 4.7486
_cell_length_c 18.9543
_cell_angle_alpha 90.00
_cell_angle_beta 90.00
_cell_angle_gamma 120.00
_symmetry_space_group_name_H-M 'R 3 m'
_symmetry_Int_Tables_number 160
_symmetry_space_group_name_Hall 'R 3 -2"'
loop_
_atom_site_label
_atom_site_type_symbol
_atom_site_fract_x
_atom_site_fract_y
_atom_site_fract_z
Cd1 Cd 0.0000 0.0000 0.0000
Cd2 Cd 0.0000 0.0000 0.1669
Bi1 Bi 0.0000 0.0000 0.7513
Pb1 Pb 0.0000 0.0000 0.5790
# Polymorph energy (0 for the lowest one) = 0.0345 eV per atom
# Formation enthalpy at 0 K = 0.0899 eV per atom

11.
# PBE-GGA Gd2RhPb, optimized geometry
data_Gd2RhPb
_chemical_formula_sum 'Gd2 Rh1 Pb1'
_cell_length_a 3.5119
_cell_length_b 3.5119
_cell_length_c 8.0893
_cell_angle_alpha 90.00
_cell_angle_beta 90.00
_cell_angle_gamma 90.00
_symmetry_space_group_name_H-M 'P 4/m m m'
_symmetry_Int_Tables_number 123
_symmetry_space_group_name_Hall '-P 4 2'
loop_
_atom_site_label
_atom_site_type_symbol
_atom_site_fract_x
_atom_site_fract_y
_atom_site_fract_z
Gd1 Gd 0.0000 0.0000 0.2078
Rh1 Rh 0.5000 0.5000 0.0000
Pb1 Pb 0.5000 0.5000 0.5000
# Polymorph energy (0 for the lowest one) = 0.0000 eV per atom
# Formation enthalpy at 0 K = -0.6653 eV per atom

12.
# PBE-GGA PuPaHgOs, optimized geometry
data_PuPaHgOs
_chemical_formula_sum 'Pu4 Pa4 Hg4 Os4'
_cell_length_a 7.1150
_cell_length_b 7.1150
_cell_length_c 7.1150
_cell_angle_alpha 90.00
_cell_angle_beta 90.00
_cell_angle_gamma 90.00
_symmetry_space_group_name_H-M 'F -4 3 m'
_symmetry_Int_Tables_number 216
_symmetry_space_group_name_Hall 'F -4 2 3'
loop_
_atom_site_label
_atom_site_type_symbol
_atom_site_fract_x
_atom_site_fract_y
_atom_site_fract_z
Pu1 Pu 0.0000 0.0000 0.0000
Pa1 Pa 0.0000 0.0000 0.5000
Hg1 Hg 0.2500 0.2500 0.7500
Os1 Os 0.2500 0.2500 0.2500
# Formation enthalpy at 0 K = 0.0800 eV per atom